Entry 1:
Computed, not measured: a relaxed OsCl2O crystal at the PBE-GGA level of DFT.

a = 9.8170 Å, b = 9.8170 Å, c = 9.8170 Å
α = 16.65°, β = 16.65°, γ = 16.65°
Closest atoms and distances in Å follow each position.
Sites, in units of the cell vectors:
Os (0.0000, 0.0000, 0.0000)  2 Cl 2.21
Cl (0.0763, 0.0763, 0.0763)  1 Os 2.21
Cl (0.9237, 0.9237, 0.9237)  1 Os 2.21
O (0.5000, 0.5000, 0.5000)  6 O 2.84, 6 Cl 3.10

Results
* N(E_F): 6.2 states/eV per cell
* ΔE_f (raw): 1040 meV/atom
* calculated density: 6.79 g/cm³
* crystal system: trigonal
* symmetry: R-3m, No. 166



Entry 2:
Computed, not measured: a relaxed POsCl2O crystal at the PBE-GGA level of DFT.

a = 4.3651 Å, b = 4.3651 Å, c = 4.1338 Å
α = 90.00°, β = 90.00°, γ = 90.00°
Closest atoms and distances in Å follow each position.
Sites, in units of the cell vectors:
P (0.0000, 0.0000, 0.0000)  2 O 2.07
Os (0.5000, 0.5000, 0.0000)  8 Cl 3.01, 4 P 3.09
Cl (0.0000, 0.5000, 0.5000)  2 O 2.18
Cl (0.5000, 0.0000, 0.5000)  2 O 2.18
O (0.0000, 0.0000, 0.5000)  2 P 2.07, 4 Cl 2.18

Results
* N(E_F): 4.8 states/eV per cell
* ΔE_f (raw): 1475 meV/atom
* calculated density: 6.50 g/cm³
* crystal system: tetragonal
* symmetry: P4/mmm, No. 123



Entry 3:
Computed, not measured: a relaxed POsCl2O crystal at the PBE-GGA level of DFT.

a = 4.8463 Å, b = 4.8463 Å, c = 4.5059 Å
α = 90.00°, β = 90.00°, γ = 90.00°
Closest atoms and distances in Å follow each position.
Sites, in units of the cell vectors:
P (0.0000, 0.0000, 0.0000)  2 Os 2.25
Os (0.0000, 0.0000, 0.5000)  2 P 2.25, 4 Cl 2.42
Cl (0.0000, 0.5000, 0.5000)  2 Os 2.42
Cl (0.5000, 0.0000, 0.5000)  2 Os 2.42
O (0.5000, 0.5000, 0.0000)  8 Cl 3.31, 4 P 3.43

Results
* N(E_F): 7.0 states/eV per cell
* ΔE_f (raw): 809 meV/atom
* calculated density: 4.83 g/cm³
* crystal system: tetragonal
* symmetry: P4/mmm, No. 123



Entry 4:
Computed, not measured: a relaxed POsCl2O crystal at the PBE-GGA level of DFT.

a = 5.0440 Å, b = 5.0440 Å, c = 3.6939 Å
α = 90.00°, β = 90.00°, γ = 90.00°
Closest atoms and distances in Å follow each position.
Sites, in units of the cell vectors:
P (0.0000, 0.0000, 0.0000)  8 Cl 3.13
Os (0.5000, 0.5000, 0.5000)  2 O 1.85
Cl (0.0000, 0.5000, 0.5000)  2 Os 2.52
Cl (0.5000, 0.0000, 0.5000)  2 Os 2.52
O (0.5000, 0.5000, 0.0000)  2 Os 1.85

Results
* N(E_F): 3.6 states/eV per cell
* ΔE_f (raw): 402 meV/atom
* calculated density: 5.44 g/cm³
* crystal system: tetragonal
* symmetry: P4/mmm, No. 123



Entry 5:
Computed, not measured: a relaxed OsPb2ClO4 crystal at the PBE-GGA level of DFT.

a = 5.2468 Å, b = 5.2468 Å, c = 9.6940 Å
α = 113.40°, β = 113.40°, γ = 37.79°
Closest atoms and distances in Å follow each position.
Sites, in units of the cell vectors:
Os (0.0000, 0.0000, 0.0000)  6 O 1.89-2.09
Pb (0.1714, 0.1714, 0.7734)  3 O 2.41-2.61
Pb (0.8286, 0.8286, 0.2266)  3 O 2.41-2.61
Cl (0.5000, 0.5000, 0.5000)  4 Pb 3.00
O (0.1478, 0.1478, 0.2018)  1 Os 1.89
O (0.3981, 0.3981, 0.0381)  2 Os 2.09
O (0.6019, 0.6019, 0.9619)  2 Os 2.09
O (0.8522, 0.8522, 0.7982)  1 Os 1.89

Results
* N(E_F): 2.4 states/eV per cell
* ΔE_f (raw): -965 meV/atom
* calculated density: 7.88 g/cm³
* crystal system: monoclinic
* symmetry: C2/m, No. 12



Entry 6:
Computed, not measured: a relaxed Pm3OsCl2O6 crystal at the PBE-GGA level of DFT.

a = 6.7228 Å, b = 6.7228 Å, c = 5.6078 Å
α = 97.64°, β = 97.64°, γ = 59.57°
Closest atoms and distances in Å follow each position.
Sites, in units of the cell vectors:
Pm (0.0000, 0.0000, 0.0000)  4 O 2.47, 2 Cl 2.71
Pm (0.0000, 0.5000, 0.5000)  4 O 2.26-2.37
Pm (0.5000, 0.0000, 0.5000)  4 O 2.26-2.37
Os (0.5000, 0.5000, 0.5000)  6 O 1.98-2.08
Cl (0.2135, 0.2135, 0.8668)  3 Pm 2.71-2.73, 1 O 2.77
Cl (0.7865, 0.7865, 0.1332)  3 Pm 2.71-2.73, 1 O 2.77
O (0.2110, 0.6770, 0.6994)  1 Os 2.08
O (0.3230, 0.7890, 0.3006)  1 Os 2.08
O (0.3391, 0.3391, 0.3280)  1 Os 1.98
O (0.6609, 0.6609, 0.6720)  1 Os 1.98
O (0.6770, 0.2110, 0.6994)  1 Os 2.08
O (0.7890, 0.3230, 0.3006)  1 Os 2.08

Results
* N(E_F): 1.4 states/eV per cell
* ΔE_f (raw): -2110 meV/atom
* calculated density: 6.09 g/cm³
* crystal system: monoclinic
* symmetry: C2/m, No. 12



Entry 7:
Computed, not measured: a relaxed Pr8Os3Cl3O crystal at the PBE-GGA level of DFT.

a = 8.8497 Å, b = 8.8497 Å, c = 8.8497 Å
α = 54.89°, β = 54.89°, γ = 54.89°
Closest atoms and distances in Å follow each position.
Sites, in units of the cell vectors:
Pr (0.2382, 0.2382, 0.2382)  3 Os 2.85, 3 Cl 3.18
Pr (0.2437, 0.7263, 0.7263)  1 O 2.71, 2 Os 2.81
Pr (0.2737, 0.2737, 0.7563)  1 O 2.71, 2 Os 2.81
Pr (0.2737, 0.7563, 0.2737)  1 O 2.71, 2 Os 2.81
Pr (0.7263, 0.2437, 0.7263)  1 O 2.71, 2 Os 2.81
Pr (0.7263, 0.7263, 0.2437)  1 O 2.71, 2 Os 2.81
Pr (0.7563, 0.2737, 0.2737)  1 O 2.71, 2 Os 2.81
Pr (0.7618, 0.7618, 0.7618)  3 Os 2.85, 3 Cl 3.18
Os (0.0000, 0.0000, 0.5000)  6 Pr 2.81-2.85
Os (0.0000, 0.5000, 0.0000)  6 Pr 2.81-2.85
Os (0.5000, 0.0000, 0.0000)  6 Pr 2.81-2.85
Cl (0.0000, 0.5000, 0.5000)  6 Pr 3.18-3.25
Cl (0.5000, 0.0000, 0.5000)  6 Pr 3.18-3.25
Cl (0.5000, 0.5000, 0.0000)  6 Pr 3.18-3.25
O (0.5000, 0.5000, 0.5000)  6 Pr 2.71

Results
* N(E_F): 9.2 states/eV per cell
* ΔE_f (raw): -873 meV/atom
* calculated density: 7.00 g/cm³
* crystal system: trigonal
* symmetry: R-3m, No. 166



Entry 8:
Computed, not measured: a relaxed Rb2OsCl4O2 crystal at the PBE-GGA level of DFT.

a = 6.7586 Å, b = 6.7586 Å, c = 5.8289 Å
α = 100.07°, β = 100.07°, γ = 65.00°
Closest atoms and distances in Å follow each position.
Sites, in units of the cell vectors:
Rb (0.1707, 0.1707, 0.3107)  1 O 3.14, 6 Cl 3.41-3.49
Rb (0.8293, 0.8293, 0.6893)  1 O 3.14, 6 Cl 3.41-3.49
Os (0.5000, 0.5000, 0.0000)  2 O 1.76
Cl (0.1682, 0.6471, 0.1902)  1 Os 2.42
Cl (0.3529, 0.8318, 0.8098)  1 Os 2.42
Cl (0.6471, 0.1682, 0.1902)  1 Os 2.42
Cl (0.8318, 0.3529, 0.8098)  1 Os 2.42
O (0.3749, 0.3749, 0.7654)  1 Os 1.76
O (0.6251, 0.6251, 0.2346)  1 Os 1.76

Results
* N(E_F): 0.0 states/eV per cell
* ΔE_f (raw): -1274 meV/atom
* calculated density: 3.76 g/cm³
* crystal system: monoclinic
* symmetry: C2/m, No. 12



Entry 9:
Computed, not measured: a relaxed Rb5OsCl2O4 crystal at the PBE-GGA level of DFT.

a = 8.8349 Å, b = 6.2651 Å, c = 6.2651 Å
α = 110.01°, β = 90.00°, γ = 90.00°
Closest atoms and distances in Å follow each position.
Sites, in units of the cell vectors:
Rb (0.0000, 0.0000, 0.0000)  2 O 2.98, 4 Cl 3.17-3.24
Rb (0.2988, 0.2298, 0.6123)  3 O 2.93-3.18, 1 Cl 3.22
Rb (0.2988, 0.6123, 0.2298)  3 O 2.93-3.18, 1 Cl 3.22
Rb (0.7012, 0.2298, 0.6123)  3 O 2.93-3.18, 1 Cl 3.22
Rb (0.7012, 0.6123, 0.2298)  3 O 2.93-3.18, 1 Cl 3.22
Os (0.5000, 0.9306, 0.9306)  4 O 1.82-1.92
Cl (0.0000, 0.4671, 0.8871)  6 Rb 3.17-3.33
Cl (0.0000, 0.8871, 0.4671)  6 Rb 3.17-3.33
O (0.3315, 0.0753, 0.0753)  1 Os 1.82
O (0.5000, 0.6064, 0.8520)  1 Os 1.92
O (0.5000, 0.8520, 0.6064)  1 Os 1.92
O (0.6685, 0.0753, 0.0753)  1 Os 1.82

Results
* N(E_F): 0.4 states/eV per cell
* ΔE_f (raw): -1430 meV/atom
* calculated density: 3.83 g/cm³
* crystal system: orthorhombic
* symmetry: Amm2, No. 38



Entry 10:
Computed, not measured: a relaxed SbOsCl2O crystal at the PBE-GGA level of DFT.

a = 5.5377 Å, b = 5.5377 Å, c = 4.0451 Å
α = 90.00°, β = 90.00°, γ = 90.00°
Closest atoms and distances in Å follow each position.
Sites, in units of the cell vectors:
Sb (0.0000, 0.0000, 0.0000)  2 O 2.02
Os (0.5000, 0.5000, 0.5000)  8 Cl 3.43
Cl (0.0000, 0.5000, 0.0000)  2 Sb 2.77
Cl (0.5000, 0.0000, 0.0000)  2 Sb 2.77
O (0.0000, 0.0000, 0.5000)  2 Sb 2.02

Results
* N(E_F): 4.6 states/eV per cell
* ΔE_f (raw): 789 meV/atom
* calculated density: 5.34 g/cm³
* crystal system: tetragonal
* symmetry: P4/mmm, No. 123



Entry 11:
Computed, not measured: a relaxed Si2OsClO crystal at the PBE-GGA level of DFT.

a = 3.7801 Å, b = 3.7801 Å, c = 4.9082 Å
α = 90.00°, β = 90.00°, γ = 90.00°
Closest atoms and distances in Å follow each position.
Sites, in units of the cell vectors:
Si (0.0000, 0.5000, 0.0000)  2 O 1.89
Si (0.5000, 0.0000, 0.0000)  2 O 1.89
Os (0.0000, 0.0000, 0.5000)  4 Cl 2.67
Cl (0.5000, 0.5000, 0.5000)  2 O 2.45, 4 Os 2.67
O (0.5000, 0.5000, 0.0000)  4 Si 1.89

Results
* N(E_F): 3.7 states/eV per cell
* ΔE_f (raw): 737 meV/atom
* calculated density: 7.05 g/cm³
* crystal system: tetragonal
* symmetry: P4/mmm, No. 123



Entry 12:
Computed, not measured: a relaxed SnOsCl2O crystal at the PBE-GGA level of DFT.

a = 5.1761 Å, b = 5.1761 Å, c = 5.4045 Å
α = 90.00°, β = 90.00°, γ = 90.00°
Closest atoms and distances in Å follow each position.
Sites, in units of the cell vectors:
Sn (0.0000, 0.0000, 0.0000)  4 Cl 2.59, 2 Os 2.70
Os (0.0000, 0.0000, 0.5000)  2 Sn 2.70
Cl (0.0000, 0.5000, 0.0000)  2 Sn 2.59
Cl (0.5000, 0.0000, 0.0000)  2 Sn 2.59
O (0.5000, 0.5000, 0.5000)  4 Os 3.66, 8 Cl 3.74

Results
* N(E_F): 12.7 states/eV per cell
* ΔE_f (raw): 1387 meV/atom
* calculated density: 4.54 g/cm³
* crystal system: tetragonal
* symmetry: P4/mmm, No. 123